GGA-PBE TaTe2AuI, relaxed; formation energy (no corrections) = 1.286 eV/atom; ΔE to the lowest computed polymorph = 827 meV/atom; size of the total moment = 0.1 μB per formula unit; DOS(E_F) = 6.235 states/eV per cell; symmetry = P4/mmm; energy = -16.53 eV for the cell shown
1.0
5.3932 0.0000 0.0000
0.0000 5.3932 0.0000
0.0000 0.0000 5.2974
Ta Te Au I
1 2 1 1
Direct
0.0000 0.0000 0.0000 Ta
0.0000 0.5000 0.5000 Te
0.5000 0.0000 0.5000 Te
0.5000 0.5000 0.5000 Au
0.5000 0.5000 0.0000 I